[1]
# PBE CaSiAg6, relaxed
# Space group ... R-3m, No. 166
# Total magnetization ... 0.000 μB/cell
# Formation energy without anion corrections ... 157 meV per atom
data_CaSiAg6
_chemical_formula_sum 'Ca1 Si1 Ag6'
_cell_length_a 5.8295
_cell_length_b 5.8295
_cell_length_c 7.2059
_cell_angle_alpha 66.14
_cell_angle_beta 66.14
_cell_angle_gamma 60.00
_symmetry_space_group_name_H-M 'P 1'
_symmetry_Int_Tables_number 1
loop_
_symmetry_equiv_pos_as_xyz
'x,y,z'
loop_
_atom_site_label
_atom_site_type_symbol
_atom_site_fract_x
_atom_site_fract_y
_atom_site_fract_z
_atom_site_occupancy
Ca1 Ca 0.5000 0.5000 0.5000 1
Si1 Si 0.0000 0.0000 0.0000 1
Ag1 Ag 0.9193 0.9193 0.7235 1
Ag2 Ag 0.4379 0.9193 0.7235 1
Ag3 Ag 0.0807 0.5621 0.2765 1
Ag4 Ag 0.5621 0.0807 0.2765 1
Ag5 Ag 0.0807 0.0807 0.2765 1
Ag6 Ag 0.9193 0.4379 0.7235 1

***

[2]
# PBE Ca2SiAg, relaxed
# Space group ... P2_1/m, No. 11
# Total magnetization ... 0.000 μB/cell
# Formation energy without anion corrections ... -369 meV per atom
data_Ca2SiAg
_chemical_formula_sum 'Ca4 Si2 Ag2'
_cell_length_a 4.5351
_cell_length_b 5.8602
_cell_length_c 8.2925
_cell_angle_alpha 110.86
_cell_angle_beta 90.00
_cell_angle_gamma 90.00
_symmetry_space_group_name_H-M 'P 1'
_symmetry_Int_Tables_number 1
loop_
_symmetry_equiv_pos_as_xyz
'x,y,z'
loop_
_atom_site_label
_atom_site_type_symbol
_atom_site_fract_x
_atom_site_fract_y
_atom_site_fract_z
_atom_site_occupancy
Ca1 Ca 0.7500 0.2222 0.4289 1
Ca2 Ca 0.2500 0.7778 0.5711 1
Ca3 Ca 0.2500 0.7946 0.0724 1
Ca4 Ca 0.7500 0.2054 0.9276 1
Si1 Si 0.2500 0.3628 0.2126 1
Si2 Si 0.7500 0.6372 0.7874 1
Ag1 Ag 0.7500 0.6226 0.2771 1
Ag2 Ag 0.2500 0.3774 0.7229 1

***

[3]
# PBE CaSiAg2, relaxed
# Space group ... P2/m, No. 10
# Total magnetization ... 0.000 μB/cell
# Formation energy without anion corrections ... -88 meV per atom
data_CaSiAg2
_chemical_formula_sum 'Ca1 Si1 Ag2'
_cell_length_a 4.5435
_cell_length_b 3.4414
_cell_length_c 5.5114
_cell_angle_alpha 89.93
_cell_angle_beta 90.00
_cell_angle_gamma 90.00
_symmetry_space_group_name_H-M 'P 1'
_symmetry_Int_Tables_number 1
loop_
_symmetry_equiv_pos_as_xyz
'x,y,z'
loop_
_atom_site_label
_atom_site_type_symbol
_atom_site_fract_x
_atom_site_fract_y
_atom_site_fract_z
_atom_site_occupancy
Ag1 Ag 0.0000 0.7507 0.9971 1
Ag2 Ag 0.0000 0.7493 0.5029 1
Ca1 Ca 0.5000 0.2500 0.2500 1
Si1 Si 0.5000 0.7500 0.7500 1

***

[4]
# PBE CaSi2Ag2, relaxed
# Space group ... P4/mbm, No. 127
# Total magnetization ... 0.000 μB/cell
# Formation energy without anion corrections ... 91 meV per atom
data_CaSi2Ag2
_chemical_formula_sum 'Ca2 Si4 Ag4'
_cell_length_a 7.9795
_cell_length_b 7.9795
_cell_length_c 3.0068
_cell_angle_alpha 90.00
_cell_angle_beta 90.00
_cell_angle_gamma 90.00
_symmetry_space_group_name_H-M 'P 1'
_symmetry_Int_Tables_number 1
loop_
_symmetry_equiv_pos_as_xyz
'x,y,z'
loop_
_atom_site_label
_atom_site_type_symbol
_atom_site_fract_x
_atom_site_fract_y
_atom_site_fract_z
_atom_site_occupancy
Ca1 Ca 0.0000 0.0000 0.0000 1
Ca2 Ca 0.5000 0.5000 0.0000 1
Si1 Si 0.1748 0.6748 0.5000 1
Si2 Si 0.6748 0.8252 0.5000 1
Si3 Si 0.8252 0.3252 0.5000 1
Si4 Si 0.3252 0.1748 0.5000 1
Ag1 Ag 0.3751 0.8751 0.0000 1
Ag2 Ag 0.8751 0.6249 0.0000 1
Ag3 Ag 0.6249 0.1249 0.0000 1
Ag4 Ag 0.1249 0.3751 0.0000 1

***

[5]
# PBE Ca2SiAg, relaxed
# Space group ... P4/mmm, No. 123
# Total magnetization ... 0.000 μB/cell
# Formation energy without anion corrections ... -317 meV per atom
data_Ca2SiAg
_chemical_formula_sum 'Ca2 Si1 Ag1'
_cell_length_a 3.5131
_cell_length_b 3.5108
_cell_length_c 7.8151
_cell_angle_alpha 90.00
_cell_angle_beta 90.00
_cell_angle_gamma 90.00
_symmetry_space_group_name_H-M 'P 1'
_symmetry_Int_Tables_number 1
loop_
_symmetry_equiv_pos_as_xyz
'x,y,z'
loop_
_atom_site_label
_atom_site_type_symbol
_atom_site_fract_x
_atom_site_fract_y
_atom_site_fract_z
_atom_site_occupancy
Ag1 Ag 0.5000 0.5000 0.7500 1
Ca1 Ca 0.0000 0.0000 0.0128 1
Ca2 Ca 0.0000 0.0000 0.4872 1
Si1 Si 0.5000 0.5000 0.2500 1

***

[6]
# PBE Ca2Si2Ag, relaxed
# Space group ... C2/m, No. 12
# Total magnetization ... 0.000 μB/cell
# Excess energy over the best structure of this formula in the dataset ... 0 meV per atom
# Formation energy without anion corrections ... -453 meV per atom
data_Ca2Si2Ag
_chemical_formula_sum 'Ca4 Si4 Ag2'
_cell_length_a 4.4453
_cell_length_b 5.8230
_cell_length_c 9.5542
_cell_angle_alpha 82.99
_cell_angle_beta 76.55
_cell_angle_gamma 67.56
_symmetry_space_group_name_H-M 'P 1'
_symmetry_Int_Tables_number 1
loop_
_symmetry_equiv_pos_as_xyz
'x,y,z'
loop_
_atom_site_label
_atom_site_type_symbol
_atom_site_fract_x
_atom_site_fract_y
_atom_site_fract_z
_atom_site_occupancy
Ca1 Ca 0.3109 0.2726 0.1056 1
Ca2 Ca 0.5120 0.3019 0.6741 1
Ca3 Ca 0.6891 0.7274 0.8944 1
Ca4 Ca 0.4880 0.6981 0.3259 1
Si1 Si 0.9848 0.1373 0.8931 1
Si2 Si 0.1255 0.3091 0.4400 1
Si3 Si 0.0152 0.8627 0.1069 1
Si4 Si 0.8745 0.6909 0.5600 1
Ag1 Ag 0.7711 0.1047 0.3531 1
Ag2 Ag 0.2289 0.8953 0.6469 1

***

[7]
# PBE CaSiAg2, relaxed
# Space group ... I-4m2, No. 119
# Total magnetization ... 0.000 μB/cell
# Formation energy without anion corrections ... -78 meV per atom
data_CaSiAg2
_chemical_formula_sum 'Ca1 Si1 Ag2'
_cell_length_a 4.8447
_cell_length_b 4.8447
_cell_length_c 4.8447
_cell_angle_alpha 120.73
_cell_angle_beta 120.73
_cell_angle_gamma 88.74
_symmetry_space_group_name_H-M 'P 1'
_symmetry_Int_Tables_number 1
loop_
_symmetry_equiv_pos_as_xyz
'x,y,z'
loop_
_atom_site_label
_atom_site_type_symbol
_atom_site_fract_x
_atom_site_fract_y
_atom_site_fract_z
_atom_site_occupancy
Ag1 Ag 0.0000 0.0000 0.0000 1
Ag2 Ag 0.2500 0.7500 0.5000 1
Ca1 Ca 0.5000 0.5000 0.0000 1
Si1 Si 0.7500 0.2500 0.5000 1

***

[8]
# PBE CaSi3Ag3, relaxed
# Space group ... Pm-3n, No. 223
# Total magnetization ... 0.000 μB/cell
# Formation energy without anion corrections ... 356 meV per atom
data_CaSi3Ag3
_chemical_formula_sum 'Ca2 Si6 Ag6'
_cell_length_a 6.9427
_cell_length_b 6.9427
_cell_length_c 6.9427
_cell_angle_alpha 90.00
_cell_angle_beta 90.00
_cell_angle_gamma 90.00
_symmetry_space_group_name_H-M 'P 1'
_symmetry_Int_Tables_number 1
loop_
_symmetry_equiv_pos_as_xyz
'x,y,z'
loop_
_atom_site_label
_atom_site_type_symbol
_atom_site_fract_x
_atom_site_fract_y
_atom_site_fract_z
_atom_site_occupancy
Ca1 Ca 0.5000 0.5000 0.5000 1
Ca2 Ca 0.0000 0.0000 0.0000 1
Si1 Si 0.2500 0.0000 0.5000 1
Si2 Si 0.0000 0.5000 0.2500 1
Si3 Si 0.5000 0.7500 0.0000 1
Si4 Si 0.7500 0.0000 0.5000 1
Si5 Si 0.0000 0.5000 0.7500 1
Si6 Si 0.5000 0.2500 0.0000 1
Ag1 Ag 0.0000 0.2500 0.5000 1
Ag2 Ag 0.0000 0.7500 0.5000 1
Ag3 Ag 0.5000 0.0000 0.7500 1
Ag4 Ag 0.7500 0.5000 0.0000 1
Ag5 Ag 0.5000 0.0000 0.2500 1
Ag6 Ag 0.2500 0.5000 0.0000 1

***

Number 4 is which compound? CaSi2Ag2

***

Number 8 is which compound? CaSi3Ag3